(1)
First-principles (PBE-GGA) data for a relaxed structure of CdTcAg, as listed in Alexandria via LeMat-Bulk.

Calculated values
Formation energy from the elements ... 0.3901 eV/atom
Offset from the most stable computed form ... 0.319 eV/atom
Total energy ... -4.32 eV per atom
ρ ... 10.23 Mg/m³
SG ... Cm (8)

Unit cell a=2.8354 b=2.8354 c=7.5459 alpha=101.36 beta=101.36 gamma=61.06
Closest atoms and distances in Å follow each position.
Sites, in units of the cell vectors:
Cd (0.0000, 0.0000, 0.0000)  6 Cd 2.84-2.88, 3 Tc 2.93-2.95, 3 Ag 3.01-3.04
Tc (0.4504, 0.4504, 0.3321)  6 Tc 2.84-2.88, 3 Ag 2.88-2.90, 3 Cd 2.93-2.95
Ag (0.2226, 0.2226, 0.6554)  6 Ag 2.84-2.88, 3 Tc 2.88-2.90, 3 Cd 3.01-3.04

***

(2)
First-principles (PBE-GGA) data for a relaxed structure of CdTcAg3, as listed in Alexandria via LeMat-Bulk.

Calculated values
Formation energy from the elements ... 1.2875 eV/atom
Offset from the most stable computed form ... 0.000 eV/atom
Total energy ... -2.68 eV per atom
ρ ... 6.47 Mg/m³
SG ... Pm-3m (221)

Unit cell a=5.1559 b=5.1559 c=5.1559 alpha=90.00 beta=90.00 gamma=90.00
Closest atoms and distances in Å follow each position.
Sites, in units of the cell vectors:
Cd (0.0000, 0.0000, 0.0000)  12 Ag 3.65
Tc (0.5000, 0.5000, 0.5000)  6 Ag 2.58
Ag (0.0000, 0.5000, 0.5000)  2 Tc 2.58
Ag (0.5000, 0.0000, 0.5000)  2 Tc 2.58
Ag (0.5000, 0.5000, 0.0000)  2 Tc 2.58

***

(3)
First-principles (PBE-GGA) data for a relaxed structure of CdTcAg, as listed in Alexandria via LeMat-Bulk.

Calculated values
Formation energy from the elements ... 0.0715 eV/atom
Offset from the most stable computed form ... 0.000 eV/atom
Total energy ... -4.64 eV per atom
ρ ... 9.92 Mg/m³
SG ... P4/nmm (129)

Unit cell a=3.0028 b=3.0028 c=11.8208 alpha=90.00 beta=90.00 gamma=90.00
Closest atoms and distances in Å follow each position.
Sites, in units of the cell vectors:
Cd (0.2500, 0.2500, 0.2366)  4 Tc 2.99, 4 Ag 2.99, 4 Cd 3.00
Cd (0.7500, 0.7500, 0.7634)  4 Tc 2.99, 4 Ag 2.99, 4 Cd 3.00
Tc (0.2500, 0.2500, 0.9411)  4 Tc 2.54
Tc (0.7500, 0.7500, 0.0589)  4 Tc 2.54
Ag (0.2500, 0.2500, 0.5849)  8 Ag 2.92-3.00, 4 Cd 2.99
Ag (0.7500, 0.7500, 0.4151)  8 Ag 2.92-3.00, 4 Cd 2.99

***

(4)
First-principles (PBE-GGA) data for a relaxed structure of CdTcAg, as listed in Alexandria via LeMat-Bulk.

Calculated values
Formation energy from the elements ... 0.1303 eV/atom
Offset from the most stable computed form ... 0.059 eV/atom
Total energy ... -4.58 eV per atom
ρ ... 9.79 Mg/m³
SG ... P4mm (99)

Unit cell a=2.9633 b=2.9633 c=12.3015 alpha=90.00 beta=90.00 gamma=90.00
Closest atoms and distances in Å follow each position.
Sites, in units of the cell vectors:
Cd (0.0000, 0.0000, 0.0000)  8 Cd 2.96-3.22, 4 Tc 2.99
Cd (0.5000, 0.5000, 0.1987)  8 Cd 2.96-3.22, 4 Ag 3.00
Tc (0.0000, 0.0000, 0.7096)  4 Tc 2.54
Tc (0.5000, 0.5000, 0.8263)  4 Tc 2.54
Ag (0.0000, 0.0000, 0.3734)  8 Ag 2.92-2.96, 4 Cd 3.00
Ag (0.5000, 0.5000, 0.5388)  8 Ag 2.92-2.96, 4 Tc 2.97

***

(5)
First-principles (PBE-GGA) data for a relaxed structure of CdTcAg, as listed in Alexandria via LeMat-Bulk.

Calculated values
Formation energy from the elements ... 0.1265 eV/atom
Offset from the most stable computed form ... 0.055 eV/atom
Total energy ... -4.58 eV per atom
ρ ... 10.03 Mg/m³
SG ... P3m1 (156)

Unit cell a=2.8884 b=2.8884 c=14.5794 alpha=90.00 beta=90.00 gamma=120.00
Closest atoms and distances in Å follow each position.
Sites, in units of the cell vectors:
Cd (0.0000, 0.0000, 0.0000)  9 Cd 2.89-3.21, 3 Ag 3.04
Cd (0.3333, 0.6667, 0.1883)  9 Cd 2.89-3.21, 3 Tc 2.98
Tc (0.0000, 0.0000, 0.3580)  9 Tc 2.58-2.89
Tc (0.3333, 0.6667, 0.4934)  9 Tc 2.58-2.89
Ag (0.0000, 0.0000, 0.6586)  9 Ag 2.89-2.95, 3 Tc 2.93
Ag (0.3333, 0.6667, 0.8255)  9 Ag 2.89-2.95, 3 Cd 3.04

***

(6)
First-principles (PBE-GGA) data for a relaxed structure of CdTcAg, as listed in Alexandria via LeMat-Bulk.

Calculated values
Formation energy from the elements ... 0.3987 eV/atom
Offset from the most stable computed form ... 0.327 eV/atom
Total energy ... -4.31 eV per atom
ρ ... 10.23 Mg/m³
SG ... I4mm (107)

Unit cell a=6.9938 b=6.9938 c=6.9938 alpha=157.13 beta=157.13 gamma=32.57
Closest atoms and distances in Å follow each position.
Sites, in units of the cell vectors:
Cd (0.0000, 0.0000, 0.0000)  4 Cd 2.77, 4 Tc 2.96, 4 Ag 3.05
Tc (0.3349, 0.3349, 0.0000)  4 Tc 2.77, 4 Ag 2.91, 4 Cd 2.96
Ag (0.6743, 0.6743, 0.0000)  4 Ag 2.77, 4 Tc 2.91, 4 Cd 3.05

***

(7)
First-principles (PBE-GGA) data for a relaxed structure of VCdTcAg2, as listed in Alexandria via LeMat-Bulk.

Calculated values
Formation energy from the elements ... 1.8093 eV/atom
Total energy ... -3.41 eV per atom
ρ ... 6.19 Mg/m³
SG ... P4/mmm (123)

Unit cell a=5.0066 b=5.0066 c=5.1082 alpha=90.00 beta=90.00 gamma=90.00
Closest atoms and distances in Å follow each position.
Sites, in units of the cell vectors:
V (0.0000, 0.0000, 0.0000)  4 Cd 3.54, 8 Ag 3.58
Cd (0.5000, 0.5000, 0.0000)  2 Tc 2.55
Tc (0.5000, 0.5000, 0.5000)  4 Ag 2.50, 2 Cd 2.55
Ag (0.0000, 0.5000, 0.5000)  2 Tc 2.50
Ag (0.5000, 0.0000, 0.5000)  2 Tc 2.50

***

(8)
First-principles (PBE-GGA) data for a relaxed structure of V2CdTcAg, as listed in Alexandria via LeMat-Bulk.

Calculated values
Formation energy from the elements ... 0.9937 eV/atom
Total energy ... -5.48 eV per atom
ρ ... 6.45 Mg/m³
SG ... P4/mmm (123)

Unit cell a=4.5445 b=4.5445 c=5.2409 alpha=90.00 beta=90.00 gamma=90.00
Closest atoms and distances in Å follow each position.
Sites, in units of the cell vectors:
V (0.0000, 0.5000, 0.0000)  2 Tc 2.27
V (0.5000, 0.0000, 0.0000)  2 Tc 2.27
Cd (0.0000, 0.0000, 0.5000)  2 Tc 2.62
Tc (0.0000, 0.0000, 0.0000)  4 V 2.27
Ag (0.5000, 0.5000, 0.5000)  4 Cd 3.21, 8 V 3.47

***

(9)
First-principles (PBE-GGA) data for a relaxed structure of ZnCd2TcAg, as listed in Alexandria via LeMat-Bulk.

Calculated values
Formation energy from the elements ... 1.0924 eV/atom
Total energy ... -2.17 eV per atom
ρ ... 5.54 Mg/m³
SG ... P4/mmm (123)

Unit cell a=5.3379 b=5.3379 c=5.2217 alpha=90.00 beta=90.00 gamma=90.00
Closest atoms and distances in Å follow each position.
Sites, in units of the cell vectors:
Zn (0.0000, 0.0000, 0.0000)  8 Cd 3.73, 4 Ag 3.77
Cd (0.0000, 0.5000, 0.5000)  2 Tc 2.67
Cd (0.5000, 0.0000, 0.5000)  2 Tc 2.67
Tc (0.5000, 0.5000, 0.5000)  2 Ag 2.61, 4 Cd 2.67
Ag (0.5000, 0.5000, 0.0000)  2 Tc 2.61

***

(10)
First-principles (PBE-GGA) data for a relaxed structure of CdAgTe2, as listed in Alexandria via LeMat-Bulk.

Calculated values
Total energy ... -2.41 eV per atom
E_form (uncorrected) ... 97.7 meV per atom
ρ ... 6.86 Mg/m³
SG ... Pmmm (47)

Unit cell a=4.0870 b=4.1450 c=6.7910 alpha=90.00 beta=90.00 gamma=90.00
Closest atoms and distances in Å follow each position.
Sites, in units of the cell vectors:
Cd (0.0000, 0.0000, 0.0000)  4 Te 2.91
Ag (0.0000, 0.5000, 0.5000)  4 Te 2.91
Te (0.5000, 0.0000, 0.5000)  4 Ag 2.91
Te (0.5000, 0.5000, 0.0000)  4 Cd 2.91

***

(11)
First-principles (PBE-GGA) data for a relaxed structure of CdAgTe2, as listed in Alexandria via LeMat-Bulk.

Calculated values
Total energy ... -2.38 eV per atom
E_form (uncorrected) ... 130.2 meV per atom
ρ ... 7.53 Mg/m³
SG ... R3m (160)

Unit cell a=11.2496 b=11.2496 c=11.2496 alpha=16.90 beta=16.90 gamma=16.90
Closest atoms and distances in Å follow each position.
Sites, in units of the cell vectors:
Cd (0.0000, 0.0000, 0.0000)  3 Ag 2.90
Ag (0.7322, 0.7322, 0.7322)  3 Cd 2.90, 3 Te 3.07
Te (0.2531, 0.2531, 0.2531)  3 Cd 3.28, 6 Te 3.31
Te (0.4712, 0.4712, 0.4712)  3 Ag 3.07, 6 Te 3.31

***

(12)
First-principles (PBE-GGA) data for a relaxed structure of CdAg2Te2, as listed in Alexandria via LeMat-Bulk.

Calculated values
Offset from the most stable computed form ... 0.080 eV/atom
Total energy ... -2.49 eV per atom
E_form (uncorrected) ... 93.5 meV per atom
ρ ... 7.98 Mg/m³
SG ... P4/mbm (127)

Unit cell a=7.8375 b=7.8375 c=3.9538 alpha=90.00 beta=90.00 gamma=90.00
Closest atoms and distances in Å follow each position.
Sites, in units of the cell vectors:
Cd (0.0000, 0.0000, 0.0000)  4 Ag 3.09
Cd (0.5000, 0.5000, 0.0000)  4 Ag 3.09
Ag (0.1271, 0.3729, 0.0000)  1 Ag 2.82, 6 Te 2.93-3.13, 2 Cd 3.09
Ag (0.3729, 0.8729, 0.0000)  1 Ag 2.82, 6 Te 2.93-3.13, 2 Cd 3.09
Ag (0.6271, 0.1271, 0.0000)  1 Ag 2.82, 6 Te 2.93-3.13, 2 Cd 3.09
Ag (0.8729, 0.6271, 0.0000)  1 Ag 2.82, 6 Te 2.93-3.13, 2 Cd 3.09
Te (0.1784, 0.6784, 0.5000)  6 Ag 2.93-3.13
Te (0.3216, 0.1784, 0.5000)  6 Ag 2.93-3.13
Te (0.6784, 0.8216, 0.5000)  6 Ag 2.93-3.13
Te (0.8216, 0.3216, 0.5000)  6 Ag 2.93-3.13